[1]
# LiSmPbSe3, relaxed, DFT PBE
data_LiSmPbSe3
_cell_length_a 8.710
_cell_length_b 4.192
_cell_length_c 9.035
_cell_angle_alpha 90.00
_cell_angle_beta 101.74
_cell_angle_gamma 90.00
_space_group_name_H-M_alt 'P 1 21/m 1'
_space_group_IT_number 11
loop_
_space_group_symop_operation_xyz
'x,y,z'
'-x,-y,-z'
'-x,y+1/2,-z'
'x,-y+1/2,z'
loop_
_atom_site_label
_atom_site_type_symbol
_atom_site_fract_x
_atom_site_fract_y
_atom_site_fract_z
Li1 Li 0.084 0.250 0.084
Sm1 Sm 0.333 0.750 0.330
Pb1 Pb 0.181 0.250 0.731
Se1 Se 0.109 0.250 0.370
Se2 Se 0.214 0.750 0.006
Se3 Se 0.429 0.750 0.666
# Total energy in eV/atom: -4.71

[2]
# LiSn2PbSe4, relaxed, DFT PBE
data_LiSn2PbSe4
_cell_length_a 7.202
_cell_length_b 4.170
_cell_length_c 7.308
_cell_angle_alpha 90.00
_cell_angle_beta 108.70
_cell_angle_gamma 90.00
_space_group_name_H-M_alt 'P 1 2/m 1'
_space_group_IT_number 10
loop_
_space_group_symop_operation_xyz
'x,y,z'
'-x,-y,-z'
'-x,y,-z'
'x,-y,z'
loop_
_atom_site_label
_atom_site_type_symbol
_atom_site_fract_x
_atom_site_fract_y
_atom_site_fract_z
Li1 Li 0.000 0.000 0.000
Sn1 Sn 0.000 0.500 0.500
Sn2 Sn 0.500 0.000 0.500
Pb1 Pb 0.500 0.500 0.000
Se1 Se 0.233 0.000 0.747
Se2 Se 0.236 0.500 0.247
# Total energy in eV/atom: -4.02

[3]
# Li2SnPbSe4, relaxed, DFT PBE
data_Li2SnPbSe4
_cell_length_a 8.041
_cell_length_b 8.143
_cell_length_c 11.434
_cell_angle_alpha 90.00
_cell_angle_beta 90.00
_cell_angle_gamma 90.00
_space_group_name_H-M_alt 'I m m a'
_space_group_IT_number 74
_space_group_name_Hall '-I 2b 2'
loop_
_atom_site_label
_atom_site_type_symbol
_atom_site_fract_x
_atom_site_fract_y
_atom_site_fract_z
Li1 Li 0.000 0.000 0.000
Li2 Li 0.250 0.250 0.250
Sn1 Sn 0.250 0.250 0.750
Pb1 Pb 0.000 0.000 0.500
Se1 Se 0.000 0.003 0.762
Se2 Se 0.227 0.250 0.995
# Total energy in eV/atom: -3.87

Respective raw formation energy values: -1.241; -0.572; -0.685 eV/atom.